Record 1
4
Lattice="0.000 3.614 3.614 3.614 0.000 3.614 3.614 3.614 0.000" Properties=species:S:1:pos:R:3 comment="SmGdAlPt GGA-PBE relaxed" n_ef_per_ev_cell=2.54 formation_energy_mev_per_atom=-672 crystal_system=cubic pbc="T T T"
Sm 0.000 0.000 0.000
Gd 3.614 3.614 3.614
Al 5.422 5.422 5.422
Pt 1.807 1.807 1.807



Record 2
4
Lattice="2.855 -5.372 0.000 2.855 5.372 0.000 -1.054 0.000 2.517" Properties=species:S:1:pos:R:3 comment="KTc2Hg GGA-PBE relaxed" n_ef_per_ev_cell=3.71 formation_energy_mev_per_atom=1176 crystal_system=monoclinic pbc="T T T"
K 0.000 0.000 0.000
Tc 0.900 2.686 1.259
Tc 0.900 -2.686 1.259
Hg 2.855 0.000 0.000



Record 3
11
Lattice="4.294 -6.391 0.000 4.294 6.391 0.000 -1.367 0.000 5.280" Properties=species:S:1:pos:R:3 comment="Er8ZnRu2 GGA-PBE relaxed" de_polymorph_ev_per_atom=0.056 n_ef_per_ev_cell=10.27 formation_energy_mev_per_atom=-204 crystal_system=monoclinic pbc="T T T"
Er 0.000 0.000 0.000
Er 0.705 1.684 3.215
Er 2.976 3.085 1.028
Er 0.705 -1.684 3.215
Er 3.879 1.684 4.122
Er 2.976 -3.085 1.028
Er 3.879 -1.684 4.122
Er 5.951 0.000 2.055
Zn 2.976 0.000 1.018
Ru 2.293 4.001 3.668
Ru 2.293 -4.001 3.668



Record 4
11
Lattice="-1.855 2.639 5.568 1.855 -2.639 5.568 1.855 2.639 -5.568" Properties=species:S:1:pos:R:3 comment="Tb2NdH8 GGA-PBE relaxed" energy_ev_per_cell=-47.572 n_ef_per_ev_cell=1.13 crystal_system=orthorhombic pbc="T T T"
Tb 0.000 0.000 1.892
Tb 0.000 0.000 9.243
Nd 0.000 0.000 5.568
H 1.855 1.234 -1.835
H 0.000 1.146 0.000
H 1.855 0.000 3.813
H 1.855 1.234 1.835
H 0.000 1.405 3.733
H 0.000 2.639 1.755
H 0.000 4.132 0.000
H 0.000 1.405 7.403



Record 5
18
Lattice="9.249 0.000 0.000 -4.624 8.009 0.000 0.000 0.000 6.501" Properties=species:S:1:pos:R:3 comment="Nd3ScHg5 GGA-PBE relaxed" n_ef_per_ev_cell=18.86 formation_energy_mev_per_atom=-431 crystal_system=hexagonal pbc="T T T"
Nd -1.715 2.970 1.625
Nd -2.910 5.040 4.876
Nd 3.429 0.000 1.625
Nd 1.715 2.970 4.876
Nd 5.819 0.000 4.876
Nd 2.910 5.040 1.625
Sc 0.000 0.000 0.000
Sc 0.000 0.000 3.250
Hg -1.325 2.296 4.876
Hg -3.299 5.714 1.625
Hg 2.651 0.000 4.876
Hg 1.325 2.296 1.625
Hg 0.000 5.340 0.000
Hg 0.000 5.340 3.250
Hg 4.624 2.670 0.000
Hg 4.624 2.670 3.250
Hg 6.598 0.000 1.625
Hg 3.299 5.714 4.876



Record 6
5
Lattice="3.779 0.000 0.000 0.000 3.779 0.000 0.000 0.000 8.964" Properties=species:S:1:pos:R:3 comment="ZnTePtN2 GGA-PBE relaxed" de_polymorph_ev_per_atom=0.000 formation_energy_uncorrected_ev_per_atom=1.02 n_ef_per_ev_cell=3.33 crystal_system=tetragonal pbc="T T T"
Zn 0.000 0.000 0.000
Te 1.890 1.890 0.000
Pt 1.890 1.890 4.482
N 0.000 1.890 4.482
N 1.890 0.000 4.482



Record 7
22
Lattice="6.187 0.000 0.000 0.000 12.556 0.000 -5.037 0.000 7.747" Properties=species:S:1:pos:R:3 comment="Rb2MnP2S6 GGA-PBE relaxed" de_polymorph_ev_per_atom=0.000 formation_energy_uncorrected_ev_per_atom=-0.72 crystal_system=monoclinic pbc="T T T"
Rb -1.133 2.207 3.680
Rb -3.651 4.070 7.553
Rb 4.802 8.485 0.193
Rb 2.283 10.348 4.067
Mn 3.094 0.000 0.000
Mn 0.575 6.278 3.873
P -2.200 6.752 4.839
P 0.319 12.081 0.965
P 0.832 0.474 6.781
P 3.350 5.803 2.908
S -3.583 0.883 5.882
S -1.064 5.395 2.009
S -1.051 8.345 4.307
S 1.467 10.489 0.434
S 1.511 0.905 1.874
S -1.007 5.372 5.747
S 2.158 7.183 2.000
S -0.360 11.650 5.873
S -0.317 2.067 7.313
S 2.201 4.211 3.439
S 2.215 7.161 5.738
S 4.733 11.673 1.864



Record 8
18
Lattice="5.797 0.000 0.000 -2.899 5.020 0.000 0.000 0.000 6.408" Properties=species:S:1:pos:R:3 comment="Os4C5 GGA-PBE relaxed" de_polymorph_ev_per_atom=0.000 n_ef_per_ev_cell=15.00 formation_energy_mev_per_atom=1486 crystal_system=hexagonal pbc="T T T"
Os 0.000 0.000 0.000
Os 0.000 0.000 3.204
Os -1.140 1.974 1.602
Os -1.759 3.047 4.806
Os 2.279 0.000 1.602
Os 1.140 1.974 4.806
Os 3.518 0.000 4.806
Os 1.759 3.047 1.602
C -0.746 1.292 4.806
C -2.152 3.728 1.602
C 1.492 0.000 4.806
C 0.746 1.292 1.602
C 0.000 3.347 0.000
C 0.000 3.347 3.204
C 2.899 1.673 0.000
C 2.899 1.673 3.204
C 4.305 0.000 1.602
C 2.152 3.728 4.806



Record 9
6
Lattice="7.404 -2.113 0.000 7.404 2.113 0.000 -4.172 0.000 9.866" Properties=species:S:1:pos:R:3 comment="Ba5Fe GGA-PBE relaxed" de_polymorph_ev_per_atom=0.000 n_ef_per_ev_cell=10.68 formation_energy_mev_per_atom=317 crystal_system=monoclinic pbc="T T T"
Ba 0.000 0.000 0.000
Ba 3.966 0.000 2.187
Ba 3.050 0.000 6.099
Ba 7.586 0.000 3.767
Ba 6.670 0.000 7.680
Fe -2.086 0.000 4.933



Record 10
14
Lattice="5.293 -3.564 0.000 5.293 3.564 0.000 -1.991 0.000 6.676" Properties=species:S:1:pos:R:3 comment="TmTeBrO4 GGA-PBE relaxed" formation_energy_uncorrected_ev_per_atom=-1.68 n_ef_per_ev_cell=0.98 crystal_system=monoclinic pbc="T T T"
Tm 2.204 0.000 0.793
Tm 6.392 0.000 5.883
Te 2.414 0.000 4.879
Te 6.181 0.000 1.797
Br -1.441 0.000 5.057
Br 10.036 0.000 1.618
O 1.420 1.336 5.717
O 2.193 0.000 3.076
O 4.426 0.000 1.308
O 1.420 -1.336 5.717
O 7.176 1.336 0.959
O 4.169 0.000 5.368
O 6.403 0.000 3.600
O 7.176 -1.336 0.959



Record 11
4
Lattice="1.827 1.055 8.642 -1.827 1.055 8.642 0.000 -2.109 8.642" Properties=species:S:1:pos:R:3 comment="Sm2DyH GGA-PBE relaxed" de_polymorph_ev_per_atom=0.000 n_ef_per_ev_cell=2.61 crystal_system=trigonal pbc="T T T"
Sm 0.000 0.000 5.748
Sm 0.000 0.000 20.179
Dy 0.000 0.000 0.000
H 0.000 0.000 12.964



Record 12
4
Lattice="2.555 -4.306 0.000 2.555 4.306 0.000 0.000 0.000 2.739" Properties=species:S:1:pos:R:3 comment="AlMo2Rh GGA-PBE relaxed" n_ef_per_ev_cell=2.76 formation_energy_mev_per_atom=-203 crystal_system=orthorhombic pbc="T T T"
Al 0.000 0.000 0.000
Mo 1.278 2.153 1.370
Mo 1.278 -2.153 1.370
Rh 2.555 0.000 0.000



Record 13
4
Lattice="2.015 1.163 7.997 -2.015 1.163 7.997 0.000 -2.327 7.997" Properties=species:S:1:pos:R:3 comment="RbScSe2 GGA-PBE relaxed" formation_energy_uncorrected_ev_per_atom=-1.58 n_ef_per_ev_cell=0.00 crystal_system=trigonal pbc="T T T"
Rb 0.000 0.000 0.000
Sc 0.000 0.000 4.043
Se 0.000 0.000 13.522
Se 0.000 0.000 18.548



Record 14
4
Lattice="0.000 3.863 3.863 3.863 0.000 3.863 3.863 3.863 0.000" Properties=species:S:1:pos:R:3 comment="Ce2HoPu GGA-PBE relaxed" de_polymorph_ev_per_atom=0.086 n_ef_per_ev_cell=10.38 formation_energy_mev_per_atom=194 crystal_system=cubic pbc="T T T"
Ce 1.931 1.931 1.931
Ce 5.794 5.794 5.794
Ho 0.000 0.000 0.000
Pu 3.863 3.863 3.863



Record 15
4
Lattice="1.886 1.089 9.156 -1.886 1.089 9.156 0.000 -2.177 9.156" Properties=species:S:1:pos:R:3 comment="DyTlHg2 GGA-PBE relaxed" n_ef_per_ev_cell=1.67 formation_energy_mev_per_atom=-174 crystal_system=trigonal pbc="T T T"
Dy 0.000 0.000 0.000
Tl 0.000 0.000 4.599
Hg 0.000 0.000 11.381
Hg 0.000 0.000 16.084



Record 16
5
Lattice="5.965 0.000 0.000 0.000 5.965 0.000 0.000 0.000 7.020" Properties=species:S:1:pos:R:3 comment="CsKCa2Au GGA-PBE relaxed" de_polymorph_ev_per_atom=0.008 n_ef_per_ev_cell=4.13 formation_energy_mev_per_atom=-156 crystal_system=tetragonal pbc="T T T"
Cs 0.000 0.000 0.000
K 2.983 2.983 0.000
Ca 0.000 2.983 3.510
Ca 2.983 0.000 3.510
Au 0.000 0.000 3.510



Record 17
18
Lattice="7.627 0.000 0.000 0.000 7.665 0.000 -2.613 0.000 7.444" Properties=species:S:1:pos:R:3 comment="Pr2Ho3Pt4 GGA-PBE relaxed" de_polymorph_ev_per_atom=0.000 n_ef_per_ev_cell=11.21 formation_energy_mev_per_atom=-1150 crystal_system=monoclinic pbc="T T T"
Pr 1.284 1.351 0.619
Pr -0.022 2.482 4.340
Pr 5.037 5.184 3.103
Pr 3.730 6.314 6.825
Ho 1.221 5.083 1.852
Ho -0.085 6.415 5.574
Ho 2.507 0.000 3.722
Ho 3.814 3.833 0.000
Ho 5.100 1.250 1.870
Ho 3.793 2.583 5.592
Pt -1.556 4.136 6.442
Pt -0.250 7.361 2.720
Pt 1.531 1.031 6.495
Pt 2.837 2.801 2.773
Pt 2.177 4.864 4.671
Pt 3.484 6.634 0.949
Pt 5.264 0.304 4.724
Pt 6.571 3.529 1.002



Record 18
5
Lattice="5.577 0.000 0.000 0.000 5.577 0.000 0.000 0.000 5.577" Properties=species:S:1:pos:R:3 comment="CsZrSc3 GGA-PBE relaxed" de_polymorph_ev_per_atom=0.000 n_ef_per_ev_cell=9.55 formation_energy_mev_per_atom=835 crystal_system=cubic pbc="T T T"
Cs 0.000 0.000 0.000
Zr 2.788 2.788 2.788
Sc 0.000 2.788 2.788
Sc 2.788 0.000 2.788
Sc 2.788 2.788 0.000



Record 19
4
Lattice="-1.907 1.907 3.779 1.907 -1.907 3.779 1.907 1.907 -3.779" Properties=species:S:1:pos:R:3 comment="CoMoRh2 GGA-PBE relaxed" de_polymorph_ev_per_atom=0.000 n_ef_per_ev_cell=3.70 formation_energy_mev_per_atom=-114 crystal_system=tetragonal pbc="T T T"
Co 0.000 0.000 0.000
Mo 0.000 0.000 3.779
Rh 1.907 0.000 1.889
Rh 0.000 1.907 1.889



Record 20
4
Lattice="0.000 3.412 3.412 3.412 0.000 3.412 3.412 3.412 0.000" Properties=species:S:1:pos:R:3 comment="YAgPdAu GGA-PBE relaxed" de_polymorph_ev_per_atom=0.000 n_ef_per_ev_cell=1.29 formation_energy_mev_per_atom=-599 crystal_system=cubic pbc="T T T"
Y 0.000 0.000 0.000
Ag 3.412 3.412 3.412
Pd 5.118 5.118 5.118
Au 1.706 1.706 1.706